(1)
A geometry-optimized Ca2FeTe structure. Source: Alexandria, functional PBEsol.

Lattice parameters (Å, degrees): 3.7895 3.7895 6.9355 90.00 90.00 90.00
With the nearest neighbours (Å) after each atom.
Fractional positions:
1 Ca 0.0000 0.0000 0.2448  4 Fe 3.17, 4 Te 3.21, 2 Ca 3.40-3.54
2 Ca 0.0000 0.0000 0.7552  4 Fe 3.17, 4 Te 3.21, 2 Ca 3.40-3.54
3 Fe 0.5000 0.5000 0.0000  8 Ca 3.17, 2 Te 3.47
4 Te 0.5000 0.5000 0.5000  8 Ca 3.21, 2 Fe 3.47

Formation energy (no corrections) in meV/atom: -262
SG: P4/mmm, No. 123
ΔE to the lowest computed polymorph in kJ/mol of formula units: 0.0

(2)
A geometry-optimized AlCd2Tc structure. Source: Alexandria, functional PBEsol.

Lattice parameters (Å, degrees): 5.3457 5.3457 5.3457 138.41 138.41 60.28
With the nearest neighbours (Å) after each atom.
Fractional positions:
1 Al 0.0000 0.0000 0.0000  4 Tc 2.68, 8 Cd 2.99
2 Cd 0.2500 0.7500 0.5000  4 Cd 2.68, 4 Tc 2.99, 4 Al 2.99
3 Cd 0.7500 0.2500 0.5000  4 Cd 2.68, 4 Tc 2.99, 4 Al 2.99
4 Tc 0.5000 0.5000 0.0000  4 Al 2.68, 8 Cd 2.99

Energy of formation in eV per atom: 0.1522
SG: I4/mmm, No. 139

(3)
A geometry-optimized TiBeCd2Mo structure. Source: Alexandria, functional PBEsol.

Lattice parameters (Å, degrees): 4.3050 4.3050 4.4763 90.00 90.00 90.00
With the nearest neighbours (Å) after each atom.
Fractional positions:
1 Ti 0.0000 0.0000 0.0000  2 Be 2.24
2 Be 0.0000 0.0000 0.5000  4 Cd 2.15, 2 Ti 2.24
3 Cd 0.0000 0.5000 0.5000  2 Be 2.15
4 Cd 0.5000 0.0000 0.5000  2 Be 2.15
5 Mo 0.5000 0.5000 0.0000  4 Ti 3.04, 8 Cd 3.11

Energy of formation in eV per atom: 0.8173
SG: P4/mmm, No. 123